Entry 1:
This record from Alexandria via LeMat-Bulk describes YH2Se after structural relaxation. The functional is GGA-PBE.

Output
- Crystal system: monoclinic
- Size of the total moment: 0.000 μB per atom
- Excess energy over the best structure of this formula in the dataset: 53 meV/atom

Unit cell a=18.021 b=3.910 c=3.708 alpha=90.00 beta=90.32 gamma=90.00
Space group Cm (No. 8)
Asymmetric unit:
1 Y 0.000 0.000 0.000 (multiplicity 2)
2 Y 0.187 0.000 0.505 (multiplicity 2)
3 H 0.119 0.000 0.003 (multiplicity 2)
4 H 0.407 0.000 0.097 (multiplicity 2)
5 H 0.408 0.000 0.889 (multiplicity 2)
6 H 0.437 0.500 0.498 (multiplicity 2)
7 Se 0.060 0.500 0.501 (multiplicity 2)
8 Se 0.251 0.500 0.007 (multiplicity 2)

=====

Entry 2:
This record from Alexandria via LeMat-Bulk describes YH2Se after structural relaxation. The functional is GGA-PBE.

Output
- Crystal system: triclinic
- Size of the total moment: 0.000 μB per atom
- Excess energy over the best structure of this formula in the dataset: 82 meV/atom

Unit cell a=3.903 b=5.466 c=7.139 alpha=67.97 beta=89.88 gamma=69.56
Space group P1 (No. 1)
Asymmetric unit:
1 Y 0.000 0.000 0.000 (multiplicity 1)
2 Y 0.164 0.667 0.636 (multiplicity 1)
3 H 0.266 0.323 0.483 (multiplicity 1)
4 H 0.389 0.405 0.432 (multiplicity 1)
5 H 0.393 0.214 0.854 (multiplicity 1)
6 H 0.977 0.069 0.683 (multiplicity 1)
7 Se 0.552 0.890 0.328 (multiplicity 1)
8 Se 0.703 0.590 0.946 (multiplicity 1)

=====

Entry 3:
This record from Alexandria via LeMat-Bulk describes YH2Se after structural relaxation. The functional is GGA-PBE.

Output
- Crystal system: monoclinic
- Size of the total moment: 0.000 μB per atom
- Excess energy over the best structure of this formula in the dataset: 86 meV/atom

Unit cell a=10.045 b=4.078 c=6.022 alpha=90.00 beta=100.72 gamma=90.00
Space group Cm (No. 8)
Asymmetric unit:
1 Y 0.000 0.000 0.000 (multiplicity 2)
2 Y 0.244 0.000 0.592 (multiplicity 2)
3 H 0.108 0.500 0.440 (multiplicity 2)
4 H 0.160 0.500 0.357 (multiplicity 2)
5 H 0.177 0.000 0.247 (multiplicity 2)
6 H 0.417 0.000 0.905 (multiplicity 2)
7 Se 0.204 0.500 0.914 (multiplicity 2)
8 Se 0.439 0.500 0.495 (multiplicity 2)

=====

Entry 4:
This record from Alexandria via LeMat-Bulk describes YHSe2 after structural relaxation. The functional is GGA-PBE.

Output
- Crystal system: monoclinic
- Size of the total moment: 0.000 μB per atom
- Excess energy over the best structure of this formula in the dataset: 42 meV/atom

Unit cell a=5.488 b=4.979 c=7.407 alpha=90.00 beta=109.99 gamma=90.00
Space group P2_1 (No. 4)
Asymmetric unit:
1 Y 0.166 0.000 0.332 (multiplicity 2)
2 H 0.429 0.381 0.032 (multiplicity 2)
3 Se 0.210 0.181 0.975 (multiplicity 2)
4 Se 0.271 0.503 0.533 (multiplicity 2)

=====

Entry 5:
This record from Alexandria via LeMat-Bulk describes Y2HSe after structural relaxation. The functional is GGA-PBE.

Output
- Crystal system: orthorhombic
- Size of the total moment: 0.000 μB per atom
- Excess energy over the best structure of this formula in the dataset: 0 meV/atom

Unit cell a=3.955 b=9.620 c=4.375 alpha=90.00 beta=90.00 gamma=90.00
Space group Pmn2_1 (No. 31)
Asymmetric unit:
1 Y 0.000 0.077 0.000 (multiplicity 2)
2 Y 0.000 0.683 0.997 (multiplicity 2)
3 H 0.000 0.880 0.732 (multiplicity 2)
4 Se 0.000 0.374 0.000 (multiplicity 2)

=====

Entry 6:
This record from Alexandria via LeMat-Bulk describes YH2Se after structural relaxation. The functional is GGA-PBE.

Output
- Crystal system: hexagonal
- Size of the total moment: 0.000 μB per atom
- Excess energy over the best structure of this formula in the dataset: 277 meV/atom

Unit cell a=3.8520 b=3.8520 c=4.2692 alpha=90.00 beta=90.00 gamma=120.00
Space group P-6m2 (No. 187)
Asymmetric unit:
1 Y 0.0000 0.0000 0.0000 (multiplicity 1)
2 H 0.3333 0.6667 0.0000 (multiplicity 1)
3 H 0.6667 0.3333 0.0000 (multiplicity 1)
4 Se 0.6667 0.3333 0.5000 (multiplicity 1)

=====

Entry 7:
This record from Alexandria via LeMat-Bulk describes YHSe2 after structural relaxation. The functional is GGA-PBE.

Output
- Crystal system: monoclinic
- Size of the total moment: 0.000 μB per atom
- Excess energy over the best structure of this formula in the dataset: 242 meV/atom

Unit cell a=14.549 b=12.058 c=8.458 alpha=90.00 beta=109.92 gamma=90.00
Space group C2/c (No. 15)
Asymmetric unit:
1 Y 0.142 0.153 0.354 (multiplicity 8)
2 Y 0.143 0.477 0.309 (multiplicity 8)
3 H 0.187 0.150 0.922 (multiplicity 8)
4 H 0.200 0.459 0.591 (multiplicity 8)
5 Se 0.000 0.037 0.750 (multiplicity 4)
6 Se 0.000 0.359 0.750 (multiplicity 4)
7 Se 0.006 0.321 0.408 (multiplicity 8)
8 Se 0.151 0.071 0.029 (multiplicity 8)
9 Se 0.231 0.198 0.701 (multiplicity 8)

=====

Entry 8:
This record from Alexandria via LeMat-Bulk describes YHSe2 after structural relaxation. The functional is GGA-PBE.

Output
- Crystal system: orthorhombic
- Size of the total moment: 0.000 μB per atom
- Excess energy over the best structure of this formula in the dataset: 51 meV/atom

Unit cell a=5.568 b=5.904 c=12.665 alpha=90.00 beta=90.00 gamma=90.00
Space group Pnma (No. 62)
Asymmetric unit:
1 Y 0.020 0.250 0.138 (multiplicity 4)
2 H 0.242 0.750 0.390 (multiplicity 4)
3 Se 0.008 0.750 0.102 (multiplicity 4)
4 Se 0.016 0.250 0.358 (multiplicity 4)

=====

Entry 9:
This record from Alexandria via LeMat-Bulk describes YHSe2 after structural relaxation. The functional is GGA-PBE.

Output
- Crystal system: cubic
- Size of the total moment: 0.169 μB per atom
- Excess energy over the best structure of this formula in the dataset: 723 meV/atom

Unit cell a=6.865 b=6.865 c=6.865 alpha=90.00 beta=90.00 gamma=90.00
Space group Fm-3m (No. 225)
Asymmetric unit:
1 Y 0.000 0.000 0.000 (multiplicity 4)
2 H 0.000 0.000 0.500 (multiplicity 4)
3 Se 0.250 0.250 0.250 (multiplicity 8)

=====

Entry 10:
This record from Alexandria via LeMat-Bulk describes YHSe2 after structural relaxation. The functional is GGA-PBE.

Output
- Crystal system: orthorhombic
- Size of the total moment: 0.000 μB per atom
- Excess energy over the best structure of this formula in the dataset: 393 meV/atom

Unit cell a=7.087 b=3.923 c=14.879 alpha=90.00 beta=90.00 gamma=90.00
Space group Pnma (No. 62)
Asymmetric unit:
1 Y 0.109 0.250 0.100 (multiplicity 4)
2 H 0.085 0.250 0.737 (multiplicity 4)
3 Se 0.088 0.750 0.733 (multiplicity 4)
4 Se 0.241 0.750 0.992 (multiplicity 4)

=====

Entry 11:
This record from Alexandria via LeMat-Bulk describes YHSe2 after structural relaxation. The functional is GGA-PBE.

Output
- Crystal system: orthorhombic
- Size of the total moment: 0.000 μB per atom
- Excess energy over the best structure of this formula in the dataset: 149 meV/atom

Unit cell a=3.963 b=23.105 c=4.145 alpha=90.00 beta=90.00 gamma=90.00
Space group Cmcm (No. 63)
Asymmetric unit:
1 Y 0.000 0.168 0.250 (multiplicity 4)
2 H 0.000 0.485 0.750 (multiplicity 4)
3 Se 0.000 0.297 0.250 (multiplicity 4)
4 Se 0.000 0.421 0.750 (multiplicity 4)

=====

Entry 12:
This record from Alexandria via LeMat-Bulk describes YHSe2 after structural relaxation. The functional is GGA-PBE.

Output
- Crystal system: orthorhombic
- Size of the total moment: 0.000 μB per atom
- Excess energy over the best structure of this formula in the dataset: 108 meV/atom

Unit cell a=8.415 b=10.433 c=5.578 alpha=90.00 beta=90.00 gamma=90.00
Space group Pna2_1 (No. 33)
Asymmetric unit:
1 Y 0.074 0.123 0.000 (multiplicity 4)
2 H 0.066 0.605 0.736 (multiplicity 4)
3 Se 0.063 0.117 0.500 (multiplicity 4)
4 Se 0.085 0.633 0.476 (multiplicity 4)